The following is a DFT calculation (PBE) of crystalline Er4Te5Au at its relaxed geometry.

Unit cell a=7.581 b=9.210 c=9.940 alpha=90.00 beta=90.00 gamma=90.00
Fractional coordinates of all 20 atoms:
Te 0.740 0.227 0.701
Te 0.740 0.773 0.299
Te 0.260 0.727 0.201
Te 0.260 0.273 0.201
Te 0.191 0.000 0.500
Te 0.260 0.273 0.799
Te 0.260 0.727 0.799
Te 0.740 0.773 0.701
Te 0.740 0.227 0.299
Te 0.809 0.500 0.000
Er 0.975 0.500 0.271
Er 0.432 0.747 0.500
Er 0.432 0.253 0.500
Er 0.025 0.000 0.771
Er 0.568 0.247 0.000
Er 0.568 0.753 0.000
Er 0.975 0.500 0.729
Er 0.025 0.000 0.229
Au 0.203 0.500 0.500
Au 0.797 0.000 0.000

Output
Space-group type: Pmmn, No. 59
Crystal system: orthorhombic
Electronic total energy: -4.772 eV/atom
Formation energy (no corrections): -1048 meV per atom

---

The following is a DFT calculation (PBE) of crystalline Ce2SmAuC at its relaxed geometry.

Unit cell a=4.868 b=4.867 c=5.038 alpha=90.00 beta=90.00 gamma=90.00
Last column: magnetic moment on the atom in μB.
Fractional coordinates of all 5 atoms:
Au 0.500 0.500 0.501  0.01
Ce 0.500 0.000 0.000  0.27
Ce 0.000 0.500 0.000  0.27
C 0.000 0.000 0.000  -0.02
Sm 0.000 0.000 0.500  0.02

Output
Space-group type: P4/mmm, No. 123
Calculated formation energy: -0.268 eV per atom
Crystal system: tetragonal
Electronic total energy: -6.086 eV/atom

---

The following is a DFT calculation (PBE) of crystalline TbScPSe at its relaxed geometry.

Unit cell a=3.865 b=3.866 c=7.118 alpha=90.00 beta=105.74 gamma=120.00
Fractional coordinates of all 4 atoms:
Tb 0.487 0.141 0.643
Sc 0.117 0.956 0.089
P 0.317 0.556 0.888
Se 0.958 0.377 0.350

Output
Space-group type: R3m, No. 160
Crystal system: trigonal
Electronic total energy: -6.618 eV/atom
Formation energy (no corrections): -1654 meV per atom

---

The following is a DFT calculation (PBE) of crystalline CdReP2 at its relaxed geometry.

Unit cell a=3.100 b=3.100 c=7.129 alpha=90.00 beta=90.00 gamma=90.00
Fractional coordinates of all 4 atoms:
Cd 0.500 0.500 0.716
P 0.500 0.500 0.278
P 0.000 0.000 0.082
Re 0.000 0.000 0.424

Output
Space-group type: P4mm, No. 99
Calculated formation energy: 0.250 eV per atom
Crystal system: tetragonal
Electronic total energy: -5.796 eV/atom

---

What is the electronic total energy in the first record?
-4.772 eV/atom